TaCoN2O | GGA+U | relaxed

a b c (Å): 4.075 4.075 3.905
angles (deg): 90.00 90.00 90.00
Last column: magnetic moment on the atom in μB.
Fractional coordinates of all 5 atoms:
N 0.000 0.500 0.000  0.16
N 0.500 0.000 0.000  0.16
Co 0.500 0.500 0.500  2.66
O 0.000 0.000 0.500  0.11
Ta 0.000 0.000 0.000  -0.01

Properties
DOS(E_F) ... 3.6 states/eV/cell
DFT total energy ... -7.86 eV/atom